# 1
This record from Alexandria via LeMat-Bulk describes an optimized crystal structure of Cs6KAu4. The functional is PBE.

Values from the calculation:
Formation energy in meV/atom: -230
ρ in kg/m3: 4676
Final energy in eV per atom: -1.987

Structure (POSCAR):
```
Cs6KAu4
1.0
12.2261 0.0000 0.0000
-6.1131 10.5881 0.0000
0.0000 0.0000 8.9131
Cs K Au
12 2 8
direct
0.0656 0.5328 0.0000
0.1341 0.2683 0.6655
0.1341 0.8659 0.6655
0.2683 0.1341 0.1655
0.4672 0.5328 0.0000
0.4672 0.9344 0.0000
0.5328 0.0656 0.5000
0.5328 0.4672 0.5000
0.7317 0.8659 0.6655
0.8659 0.1341 0.1655
0.8659 0.7317 0.1655
0.9344 0.4672 0.5000
0.3333 0.6667 0.3937
0.6667 0.3333 0.8937
0.1891 0.3782 0.2682
0.1891 0.8109 0.2682
0.3333 0.6667 0.7529
0.3782 0.1891 0.7682
0.6218 0.8109 0.2682
0.6667 0.3333 0.2529
0.8109 0.1891 0.7682
0.8109 0.6218 0.7682
```

# 2
This record from Alexandria via LeMat-Bulk describes an optimized crystal structure of Tb8P3SeS4. The functional is PBE.

Values from the calculation:
ρ in kg/m3: 7260
Final energy in eV per atom: -6.469
Raw formation energy in eV/f.u.: -30.245

Structure (POSCAR):
```
Tb8P3SeS4
1.0
3.9974 2.3079 6.4936
-3.9974 2.3079 6.4936
0.0000 -4.6158 6.4936
Tb P Se S
8 3 1 4
direct
0.2374 0.7553 0.7553
0.2447 0.2447 0.7626
0.2447 0.7626 0.2447
0.2471 0.2471 0.2471
0.7529 0.7529 0.7529
0.7553 0.2374 0.7553
0.7553 0.7553 0.2374
0.7626 0.2447 0.2447
0.0000 0.0000 0.5000
0.0000 0.5000 0.0000
0.5000 0.0000 0.0000
0.5000 0.5000 0.5000
0.0000 0.0000 0.0000
0.0000 0.5000 0.5000
0.5000 0.0000 0.5000
0.5000 0.5000 0.0000
```

# 3
This record from Alexandria via LeMat-Bulk describes an optimized crystal structure of YThMo. The functional is PBE.

Values from the calculation:
Formation energy in meV/atom: 182
ρ in kg/m3: 8343
Final energy in eV per atom: -8.056

Structure (POSCAR):
```
YThMo
1.0
7.9292 -1.7660 0.0000
7.9292 1.7660 0.0000
-1.4896 0.0000 5.9257
Y Th Mo
2 2 2
direct
0.0688 0.0688 0.2929
0.9312 0.9312 0.7071
0.3544 0.3544 0.1588
0.6456 0.6456 0.8412
0.2629 0.2629 0.6486
0.7371 0.7371 0.3514
```

# 4
This record from Alexandria via LeMat-Bulk describes an optimized crystal structure of Nb2FePtN. The functional is PBE.

Values from the calculation:
ρ in kg/m3: 10781
Final energy in eV per atom: -9.181
Raw formation energy in eV/f.u.: -2.938

Structure (POSCAR):
```
Nb2FePtN
1.0
4.2600 0.0000 0.0000
0.0000 4.2600 0.0000
0.0000 0.0000 3.8257
Nb Fe Pt N
2 1 1 1
direct
0.0000 0.5000 0.0000
0.5000 0.0000 0.0000
0.0000 0.0000 0.5000
0.5000 0.5000 0.5000
0.0000 0.0000 0.0000
```

# 5
This record from Alexandria via LeMat-Bulk describes an optimized crystal structure of CaSm2AgO5. The functional is PBE.

Values from the calculation:
ρ in kg/m3: 6618
Final energy in eV per atom: -6.687
Raw formation energy in eV/f.u.: -21.101

Structure (POSCAR):
```
CaSm2AgO5
1.0
6.6280 0.0000 0.0000
0.0000 6.6280 0.0000
0.0000 0.0000 6.0395
Ca Sm Ag O
2 4 2 10
direct
0.0000 0.0000 0.0000
0.5000 0.5000 0.0000
0.1708 0.3292 0.5000
0.3292 0.8292 0.5000
0.6708 0.1708 0.5000
0.8292 0.6708 0.5000
0.0000 0.5000 0.0000
0.5000 0.0000 0.0000
0.0000 0.0000 0.5000
0.1528 0.6528 0.2517
0.1528 0.6528 0.7483
0.3472 0.1528 0.2517
0.3472 0.1528 0.7483
0.5000 0.5000 0.5000
0.6528 0.8472 0.2517
0.6528 0.8472 0.7483
0.8472 0.3472 0.2517
0.8472 0.3472 0.7483
```

# 6
This record from Alexandria via LeMat-Bulk describes an optimized crystal structure of Pd2Br6F. The functional is PBE.

Values from the calculation:
ρ in kg/m3: 3981
Final energy in eV per atom: -2.671
Raw formation energy in eV/f.u.: -1.746

Structure (POSCAR):
```
Pd2Br6F
1.0
4.5848 -9.9158 0.0000
4.5848 9.9158 0.0000
-3.1315 0.0000 6.5265
Pd Br F
4 12 2
direct
0.0511 0.2795 0.2035
0.2795 0.0511 0.7035
0.7205 0.9489 0.2965
0.9489 0.7205 0.7965
0.0197 0.6584 0.0760
0.0434 0.1976 0.4991
0.1976 0.0434 0.9991
0.3345 0.5884 0.4058
0.3416 0.9803 0.4240
0.4116 0.6655 0.0942
0.5884 0.3345 0.9058
0.6584 0.0197 0.5760
0.6655 0.4116 0.5942
0.8024 0.9566 0.0009
0.9566 0.8024 0.5009
0.9803 0.3416 0.9240
0.3813 0.6187 0.7500
0.6187 0.3813 0.2500
```